Here is crystalline Sc2AuC at its relaxed geometry from Alexandria. Energies are from PBE.

Energy of formation ... -0.285 eV per atom
VASP energy ... -26.3 eV/cell
D(E_F) ... 0.30 states/eV per atom
Symmetry ... No. 65

Cell: 3.012 3.012 7.061 Å, 90.00 90.00 100.86°
Fractional coordinates of all 4 atoms:
Sc1 0.000 0.000 0.309
Sc2 0.000 0.000 0.691
Au1 0.500 0.500 0.000
C1 0.500 0.500 0.500